No. 1
DFT (PBE) results for a geometry-optimized CuNi3Rh structure.

Lattice parameters (Å, degrees): 4.446 4.203 6.730 90.00 108.84 90.00
Positions (direct):
Cu (0.169, 0.250, 0.009)
Cu (0.831, 0.750, 0.991)
Ni (0.240, 0.750, 0.805)
Ni (0.372, 0.250, 0.400)
Ni (0.437, 0.750, 0.197)
Ni (0.563, 0.250, 0.803)
Ni (0.628, 0.750, 0.600)
Ni (0.760, 0.250, 0.195)
Rh (0.037, 0.750, 0.394)
Rh (0.963, 0.250, 0.606)

Output
Relative energy among the computed polymorphs in meV per atom: 10
ΔH_f (0 K) in eV/atom: 0.051


No. 2
DFT (PBE) results for a geometry-optimized Cu2Ni5Rh structure.

Lattice parameters (Å, degrees): 5.075 5.075 5.073 119.84 119.84 90.12
Positions (direct):
Cu (0.000, 0.000, 0.000)
Cu (0.000, 0.000, 0.500)
Ni (0.000, 0.500, 0.000)
Ni (0.000, 0.500, 0.500)
Ni (0.500, 0.000, 0.000)
Ni (0.500, 0.000, 0.500)
Ni (0.500, 0.500, 0.000)
Rh (0.500, 0.500, 0.500)

Output
Relative energy among the computed polymorphs in meV per atom: 0
ΔH_f (0 K) in eV/atom: 0.040


No. 3
DFT (PBE) results for a geometry-optimized CuNi9Rh2 structure.

Lattice parameters (Å, degrees): 3.602 3.602 10.765 90.00 90.00 90.00
Positions (direct):
Cu (0.000, 0.000, 0.000)
Ni (0.000, 0.500, 0.162)
Ni (0.000, 0.500, 0.500)
Ni (0.000, 0.500, 0.838)
Ni (0.500, 0.000, 0.162)
Ni (0.500, 0.000, 0.500)
Ni (0.500, 0.000, 0.838)
Ni (0.500, 0.500, 0.000)
Ni (0.500, 0.500, 0.332)
Ni (0.500, 0.500, 0.668)
Rh (0.000, 0.000, 0.329)
Rh (0.000, 0.000, 0.671)

Output
ΔH_f (0 K) in eV/atom: 0.034


No. 4
DFT (PBE) results for a geometry-optimized Cu2NiRh structure.

Lattice parameters (Å, degrees): 3.627 3.627 3.767 90.00 90.00 90.00
Positions (direct):
Cu (0.000, 0.500, 0.000)
Cu (0.500, 0.000, 0.000)
Ni (0.000, 0.000, 0.500)
Rh (0.500, 0.500, 0.500)

Output
Relative energy among the computed polymorphs in meV per atom: 51
ΔH_f (0 K) in eV/atom: 0.092


No. 5
DFT (PBE) results for a geometry-optimized Cu2NiRh structure.

Lattice parameters (Å, degrees): 4.130 4.130 4.130 60.00 60.00 60.00
Positions (direct):
Cu (0.250, 0.250, 0.250)
Cu (0.750, 0.750, 0.750)
Ni (0.000, 0.000, 0.000)
Rh (0.500, 0.500, 0.500)

Output
Relative energy among the computed polymorphs in meV per atom: 92
ΔH_f (0 K) in eV/atom: 0.133


No. 6
DFT (PBE) results for a geometry-optimized CuNi8Rh6 structure.

Lattice parameters (Å, degrees): 6.435 6.435 6.435 60.54 60.54 60.54
Positions (direct):
Cu (0.000, 0.000, 0.000)
Ni (0.116, 0.804, 0.671)
Ni (0.196, 0.329, 0.884)
Ni (0.329, 0.884, 0.196)
Ni (0.424, 0.424, 0.424)
Ni (0.576, 0.576, 0.576)
Ni (0.671, 0.116, 0.804)
Ni (0.804, 0.671, 0.116)
Ni (0.884, 0.196, 0.329)
Rh (0.067, 0.265, 0.541)
Rh (0.265, 0.541, 0.067)
Rh (0.459, 0.933, 0.735)
Rh (0.541, 0.067, 0.265)
Rh (0.735, 0.459, 0.933)
Rh (0.933, 0.735, 0.459)

Output
Relative energy among the computed polymorphs in meV per atom: 0
ΔH_f (0 K) in eV/atom: 0.134


No. 7
DFT (PBE) results for a geometry-optimized CuNi2Rh2 structure.

Lattice parameters (Å, degrees): 7.058 7.058 2.683 90.00 90.00 90.00
Positions (direct):
Cu (0.000, 0.000, 0.000)
Cu (0.500, 0.500, 0.000)
Ni (0.120, 0.380, 0.000)
Ni (0.380, 0.880, 0.000)
Ni (0.620, 0.120, 0.000)
Ni (0.880, 0.620, 0.000)
Rh (0.177, 0.677, 0.500)
Rh (0.323, 0.177, 0.500)
Rh (0.677, 0.823, 0.500)
Rh (0.823, 0.323, 0.500)

Output
Relative energy among the computed polymorphs in meV per atom: 33
ΔH_f (0 K) in eV/atom: 0.236


No. 8
DFT (PBE) results for a geometry-optimized CuNi2Rh2 structure.

Lattice parameters (Å, degrees): 6.859 6.859 6.859 139.60 57.69 140.62
Positions (direct):
Cu (0.250, 0.250, 0.000)
Cu (0.750, 0.750, 0.000)
Ni (0.188, 0.119, 0.307)
Ni (0.312, 0.619, 0.931)
Ni (0.688, 0.381, 0.069)
Ni (0.812, 0.881, 0.693)
Rh (0.107, 0.613, 0.720)
Rh (0.393, 0.113, 0.506)
Rh (0.607, 0.887, 0.494)
Rh (0.893, 0.387, 0.280)

Output
Relative energy among the computed polymorphs in meV per atom: 89
ΔH_f (0 K) in eV/atom: 0.292